--- P ---
Material: Dy2MgHg4
Method: DFT, PBE-GGA
State: optimized geometry

Output
Magnetization (μB/cell): 0.00
Crystal system: tetragonal

Cell lengths 8.479, 8.479, 8.479 Å; angles 144.33, 144.33, 51.33 degrees
Fractional coordinates of all 7 atoms:
Dy 0.115 0.115 0.000
Dy 0.885 0.885 0.000
Mg 0.500 0.500 0.000
Hg 0.000 0.500 0.500
Hg 0.312 0.312 0.000
Hg 0.500 0.000 0.500
Hg 0.688 0.688 0.000

--- Q ---
Material: Dy2MgHg4
Method: DFT, PBE-GGA
State: optimized geometry

Output
Magnetization (μB/cell): 0.00
Crystal system: trigonal

Cell lengths 8.849, 8.849, 8.849 Å; angles 32.75, 32.75, 32.75 degrees
Fractional coordinates of all 7 atoms:
Dy 0.250 0.250 0.250
Dy 0.750 0.750 0.750
Mg 0.000 0.000 0.000
Hg 0.128 0.128 0.128
Hg 0.376 0.376 0.376
Hg 0.624 0.624 0.624
Hg 0.872 0.872 0.872

Most stable of them? Q.

--- P ---
Material: Dy2MgHg8
Method: DFT, PBE-GGA
State: optimized geometry

Output
Magnetization (μB/cell): 0.00
Crystal system: tetragonal

Cell lengths 4.591, 4.591, 12.854 Å; angles 90.00, 90.00, 90.00 degrees
Fractional coordinates of all 11 atoms:
Dy 0.000 0.000 0.186
Dy 0.000 0.000 0.814
Mg 0.000 0.000 0.500
Hg 0.000 0.500 0.000
Hg 0.000 0.500 0.363
Hg 0.000 0.500 0.637
Hg 0.500 0.000 0.000
Hg 0.500 0.000 0.363
Hg 0.500 0.000 0.637
Hg 0.500 0.500 0.181
Hg 0.500 0.500 0.819

--- Q ---
Material: Dy2MgHg8
Method: DFT, PBE-GGA
State: optimized geometry

Output
Magnetization (μB/cell): 0.00
Crystal system: monoclinic

Cell lengths 8.841, 8.841, 6.886 Å; angles 108.10, 108.10, 31.44 degrees
Fractional coordinates of all 11 atoms:
Dy 0.213 0.213 0.177
Dy 0.787 0.787 0.823
Mg 0.500 0.500 0.500
Hg 0.021 0.021 0.231
Hg 0.162 0.162 0.687
Hg 0.351 0.351 0.617
Hg 0.394 0.394 0.080
Hg 0.606 0.606 0.920
Hg 0.649 0.649 0.383
Hg 0.838 0.838 0.313
Hg 0.979 0.979 0.769

Most stable of them? P.

--- P ---
Material: Dy3Mg2Hg3
Method: DFT, PBE-GGA
State: optimized geometry

Output
Magnetization (μB/cell): 0.00
Crystal system: orthorhombic

Cell lengths 10.935, 10.935, 10.935 Å; angles 160.58, 152.24, 34.10 degrees
Fractional coordinates of all 8 atoms:
Dy 0.000 0.000 0.000
Dy 0.375 0.875 0.500
Dy 0.625 0.125 0.500
Mg 0.239 0.239 0.000
Mg 0.761 0.761 0.000
Hg 0.127 0.627 0.500
Hg 0.500 0.500 0.000
Hg 0.873 0.373 0.500

--- Q ---
Material: Dy3Mg2Hg3
Method: DFT, PBE-GGA
State: optimized geometry

Output
Magnetization (μB/cell): 0.00
Crystal system: hexagonal

Cell lengths 8.857, 8.857, 5.856 Å; angles 90.00, 90.00, 120.00 degrees
Fractional coordinates of all 16 atoms:
Dy 0.000 0.250 0.250
Dy 0.000 0.750 0.750
Dy 0.250 0.000 0.250
Dy 0.250 0.250 0.750
Dy 0.750 0.000 0.750
Dy 0.750 0.750 0.250
Mg 0.333 0.667 0.000
Mg 0.333 0.667 0.500
Mg 0.667 0.333 0.000
Mg 0.667 0.333 0.500
Hg 0.000 0.397 0.750
Hg 0.000 0.603 0.250
Hg 0.397 0.000 0.750
Hg 0.397 0.397 0.250
Hg 0.603 0.000 0.250
Hg 0.603 0.603 0.750

Most stable of them? Q.

--- P ---
Material: DyMg3Hg2
Method: DFT, PBE-GGA
State: optimized geometry

Output
Magnetization (μB/cell): 0.00
Crystal system: monoclinic

Cell lengths 8.634, 8.634, 7.960 Å; angles 111.70, 111.70, 31.14 degrees
Fractional coordinates of all 12 atoms:
Dy 0.117 0.117 0.167
Dy 0.883 0.883 0.833
Mg 0.064 0.064 0.697
Mg 0.308 0.308 0.092
Mg 0.356 0.356 0.502
Mg 0.644 0.644 0.498
Mg 0.692 0.692 0.908
Mg 0.936 0.936 0.303
Hg 0.238 0.238 0.701
Hg 0.489 0.489 0.176
Hg 0.511 0.511 0.824
Hg 0.762 0.762 0.299

--- Q ---
Material: DyMg3Hg2
Method: DFT, PBE-GGA
State: optimized geometry

Output
Magnetization (μB/cell): 0.00
Crystal system: orthorhombic

Cell lengths 4.268, 8.710, 7.629 Å; angles 90.00, 90.00, 90.00 degrees
Fractional coordinates of all 12 atoms:
Dy 0.000 0.080 0.000
Dy 0.000 0.920 0.500
Mg 0.000 0.313 0.607
Mg 0.000 0.687 0.107
Mg 0.500 0.193 0.332
Mg 0.500 0.413 0.935
Mg 0.500 0.587 0.435
Mg 0.500 0.807 0.832
Hg 0.000 0.387 0.230
Hg 0.000 0.613 0.730
Hg 0.500 0.122 0.711
Hg 0.500 0.878 0.211

Most stable of them? Q.

--- P ---
Material: Dy2Mg3Hg4
Method: DFT, PBE-GGA
State: optimized geometry

Output
Magnetization (μB/cell): 0.00
Crystal system: monoclinic

Cell lengths 5.019, 5.019, 9.668 Å; angles 90.08, 90.08, 59.96 degrees
Fractional coordinates of all 9 atoms:
Dy 0.167 0.167 0.213
Dy 0.833 0.833 0.787
Mg 0.166 0.166 0.572
Mg 0.500 0.500 0.000
Mg 0.834 0.834 0.428
Hg 0.166 0.166 0.896
Hg 0.499 0.499 0.658
Hg 0.501 0.501 0.342
Hg 0.834 0.834 0.104

--- Q ---
Material: Dy2Mg3Hg4
Method: DFT, PBE-GGA
State: optimized geometry

Output
Magnetization (μB/cell): 0.00
Crystal system: orthorhombic

Cell lengths 8.966, 8.966, 8.050 Å; angles 90.00, 90.00, 138.86 degrees
Fractional coordinates of all 18 atoms:
Dy 0.101 0.899 0.909
Dy 0.399 0.601 0.409
Dy 0.601 0.399 0.591
Dy 0.899 0.101 0.091
Mg 0.000 0.000 0.500
Mg 0.021 0.479 0.750
Mg 0.479 0.021 0.250
Mg 0.500 0.500 0.000
Mg 0.521 0.979 0.750
Mg 0.979 0.521 0.250
Hg 0.171 0.829 0.539
Hg 0.192 0.308 0.750
Hg 0.308 0.192 0.250
Hg 0.329 0.671 0.039
Hg 0.671 0.329 0.961
Hg 0.692 0.808 0.750
Hg 0.808 0.692 0.250
Hg 0.829 0.171 0.461

Most stable of them? P.

--- P ---
Material: DyMgHgPb
Method: DFT, PBE-GGA
State: optimized geometry

Output
Magnetization (μB/cell): 0.00
Crystal system: cubic

Cell lengths 5.228, 5.228, 5.228 Å; angles 60.00, 60.00, 60.00 degrees
Fractional coordinates of all 4 atoms:
Dy 0.000 0.000 0.000
Mg 0.500 0.500 0.500
Hg 0.750 0.750 0.750
Pb 0.250 0.250 0.250

--- Q ---
Material: DyMgHgPb
Method: DFT, PBE-GGA
State: optimized geometry

Output
Magnetization (μB/cell): 0.00
Crystal system: orthorhombic

Cell lengths 4.230, 4.782, 4.964 Å; angles 90.00, 90.00, 90.00 degrees
Fractional coordinates of all 4 atoms:
Dy 0.000 0.000 0.000
Mg 0.000 0.500 0.500
Hg 0.500 0.000 0.500
Pb 0.500 0.500 0.000

Most stable of them? Q.

--- P ---
Material: PmDyMgHg
Method: DFT, PBE-GGA
State: optimized geometry

Output
Magnetization (μB/cell): 0.00
Crystal system: tetragonal

Cell lengths 3.799, 3.799, 7.534 Å; angles 90.00, 90.00, 90.00 degrees
Fractional coordinates of all 4 atoms:
Pm 0.000 0.000 0.000
Dy 0.000 0.000 0.495
Mg 0.500 0.500 0.739
Hg 0.500 0.500 0.264

--- Q ---
Material: PmDyMgHg
Method: DFT, PBE-GGA
State: optimized geometry

Output
Magnetization (μB/cell): 0.20
Crystal system: cubic

Cell lengths 5.359, 5.359, 5.359 Å; angles 60.00, 60.00, 60.00 degrees
Fractional coordinates of all 4 atoms:
Pm 0.000 0.000 0.000
Dy 0.500 0.500 0.500
Mg 0.250 0.250 0.250
Hg 0.750 0.750 0.750

Most stable of them? P.

--- P ---
Material: DyMgSnHg
Method: DFT, PBE-GGA
State: optimized geometry

Output
Magnetization (μB/cell): 0.00
Crystal system: orthorhombic

Cell lengths 4.263, 4.617, 4.892 Å; angles 90.00, 90.00, 90.00 degrees
Fractional coordinates of all 4 atoms:
Dy 0.000 0.000 0.000
Mg 0.000 0.500 0.500
Sn 0.500 0.500 0.000
Hg 0.500 0.000 0.500

--- Q ---
Material: DyMgSnHg
Method: DFT, PBE-GGA
State: optimized geometry

Output
Magnetization (μB/cell): 0.00
Crystal system: cubic

Cell lengths 5.169, 5.169, 5.169 Å; angles 60.00, 60.00, 60.00 degrees
Fractional coordinates of all 4 atoms:
Dy 0.000 0.000 0.000
Mg 0.500 0.500 0.500
Sn 0.250 0.250 0.250
Hg 0.750 0.750 0.750

Most stable of them? P.